A geometry-optimized Th3TcBi2 structure, computed with GGA-PBE.

Computed properties:
Total magnetic moment (μB per atom): 0.000
ΔH_f (0 K) (eV per formula unit): -2.20
Excess energy over the best structure of this formula in the dataset (meV/atom): 19

a b c (Å): 13.2216 4.3998 12.2207
angles (deg): 90.00 90.00 90.00
Atoms (fractional coordinates):
Th1 0.0555 0.2500 0.1219
Th2 0.1197 0.7500 0.5364
Th3 0.2445 0.7500 0.2740
Th4 0.2555 0.2500 0.7740
Th5 0.3803 0.2500 0.0364
Th6 0.4445 0.7500 0.6219
Th7 0.5555 0.2500 0.3781
Th8 0.6197 0.7500 0.9636
Th9 0.7445 0.7500 0.2260
Th10 0.7555 0.2500 0.7260
Th11 0.8803 0.2500 0.4636
Th12 0.9445 0.7500 0.8781
Tc1 0.1231 0.2500 0.3626
Tc2 0.3769 0.7500 0.8626
Tc3 0.6231 0.2500 0.1374
Tc4 0.8769 0.7500 0.6374
Bi1 0.0128 0.2500 0.7002
Bi2 0.1873 0.7500 0.9833
Bi3 0.3127 0.2500 0.4833
Bi4 0.4872 0.7500 0.2002
Bi5 0.5128 0.2500 0.7998
Bi6 0.6873 0.7500 0.5167
Bi7 0.8127 0.2500 0.0167
Bi8 0.9872 0.7500 0.2998

A geometry-optimized LaMgOs structure, computed with GGA-PBE.

Computed properties:
Total magnetic moment (μB per atom): 0.000
ΔH_f (0 K) (eV per formula unit): 0.39

a b c (Å): 6.6181 6.6181 6.6181
angles (deg): 150.29 150.29 42.51
Atoms (fractional coordinates):
La1 0.0000 0.0000 0.0000
Mg1 0.7431 0.7431 0.0000
Os1 0.3579 0.3579 0.0000

A geometry-optimized SmHoGaHg structure, computed with GGA-PBE.

Computed properties:
Total magnetic moment (μB per atom): 0.000
ΔH_f (0 K) (eV per formula unit): -2.01
Excess energy over the best structure of this formula in the dataset (meV/atom): 25

a b c (Å): 5.2237 5.2237 5.2237
angles (deg): 60.00 60.00 60.00
Atoms (fractional coordinates):
Sm1 0.0000 0.0000 0.0000
Ho1 0.5000 0.5000 0.5000
Ga1 0.2500 0.2500 0.2500
Hg1 0.7500 0.7500 0.7500

A geometry-optimized Ce2GdPd structure, computed with GGA-PBE.

Computed properties:
Total magnetic moment (μB per atom): 2.211
ΔH_f (0 K) (eV per formula unit): -0.94
Excess energy over the best structure of this formula in the dataset (meV/atom): 0

a b c (Å): 3.7069 3.7069 7.8517
angles (deg): 90.00 90.00 90.00
Atoms (fractional coordinates):
Ce1 0.0000 0.0000 0.1977
Ce2 0.0000 0.0000 0.8023
Gd1 0.5000 0.5000 0.5000
Pd1 0.5000 0.5000 0.0000

A geometry-optimized Pm12Cd6Hg structure, computed with GGA-PBE.

Computed properties:
Total magnetic moment (μB per atom): 0.000
ΔH_f (0 K) (eV per formula unit): -2.63

a b c (Å): 9.1673 9.1673 9.1673
angles (deg): 111.22 111.22 111.22
Atoms (fractional coordinates):
Pm1 0.0313 0.3002 0.1765
Pm2 0.1765 0.0313 0.3002
Pm3 0.2377 0.6057 0.6711
Pm4 0.3002 0.1765 0.0313
Pm5 0.3289 0.7623 0.3943
Pm6 0.3943 0.3289 0.7623
Pm7 0.6057 0.6711 0.2377
Pm8 0.6711 0.2377 0.6057
Pm9 0.6998 0.8235 0.9687
Pm10 0.7623 0.3943 0.3289
Pm11 0.8235 0.9687 0.6998
Pm12 0.9687 0.6998 0.8235
Cd1 0.0766 0.8570 0.5535
Cd2 0.1430 0.4465 0.9234
Cd3 0.4465 0.9234 0.1430
Cd4 0.5535 0.0766 0.8570
Cd5 0.8570 0.5535 0.0766
Cd6 0.9234 0.1430 0.4465
Hg1 0.5000 0.5000 0.5000